1.
K4ZnCd: relaxed, GGA-PBEsol.

The structure in CIF format:
```
data_K4ZnCd
_cell_length_a 10.5275
_cell_length_b 10.5275
_cell_length_c 10.5275
_cell_angle_alpha 90.00
_cell_angle_beta 90.00
_cell_angle_gamma 90.00
_space_group_name_H-M_alt 'F -4 3 m'
_space_group_IT_number 216
_space_group_name_Hall 'F -4 2 3'
loop_
_atom_site_label
_atom_site_type_symbol
_atom_site_fract_x
_atom_site_fract_y
_atom_site_fract_z
_atom_site_occupancy
K1 K 0.1251 0.1251 0.1251 1
Zn1 Zn 0.2500 0.2500 0.7500 1
Cd1 Cd 0.0000 0.0000 0.5000 1
```

Calculated values
DFT formation energy = 0.416 eV per atom



2.
BaPtSeN2: relaxed, GGA-PBEsol.

The structure in CIF format:
```
data_BaPtSeN2
_cell_length_a 4.2089
_cell_length_b 4.2089
_cell_length_c 5.1793
_cell_angle_alpha 90.00
_cell_angle_beta 90.00
_cell_angle_gamma 90.00
_space_group_name_H-M_alt 'P 4/m m m'
_space_group_IT_number 123
_space_group_name_Hall '-P 4 2'
loop_
_atom_site_label
_atom_site_type_symbol
_atom_site_fract_x
_atom_site_fract_y
_atom_site_fract_z
_atom_site_occupancy
Ba1 Ba 0.0000 0.0000 0.0000 1
Pt1 Pt 0.5000 0.5000 0.5000 1
Se1 Se 0.5000 0.5000 0.0000 1
N1 N 0.0000 0.5000 0.5000 1
```

Calculated values
E above lowest polymorph = 0 meV/atom